## Bi3HPd4 (PBE-GGA)

Data for a geometry-optimized Bi3HPd4 structure.

Summary:
Volume: 349 Å³/cell
Spin magnetization: 0.00 μB per cell
Uncorrected energy: -4.558 eV/atom

a = 7.6292 Å, b = 7.1482 Å, c = 6.4030 Å
α = 90.00°, β = 90.00°, γ = 90.00°
Sites, in units of the cell vectors:
Bi 0.0000 0.1375 0.0000
Bi 0.2472 0.3516 0.5080
Bi 0.2528 0.6484 0.0080
Bi 0.5000 0.8625 0.5000
Bi 0.7472 0.6484 0.0080
Bi 0.7528 0.3516 0.5080
H 0.0000 0.8546 0.6978
H 0.5000 0.1454 0.1978
Pd 0.0000 0.0764 0.5722
Pd 0.0000 0.8227 0.2359
Pd 0.1810 0.7171 0.5924
Pd 0.3190 0.2829 0.0924
Pd 0.5000 0.1773 0.7359
Pd 0.5000 0.9236 0.0722
Pd 0.6810 0.2829 0.0924
Pd 0.8190 0.7171 0.5924